(1)
A crystal of LaScNi2 relaxed with PBEsol, computed with SCAN.

The structure in POSCAR format:
```
LaScNi2
1.0
3.544 0.000 0.000
0.000 4.248 0.000
-1.772 0.000 4.947
Sc Ni La
1 2 1
Cartesian
0.000 0.000 1.173
1.772 0.000 3.138
1.772 2.124 1.682
0.000 2.124 3.915
```

## Properties
Energy above the most stable polymorph in this dataset in meV per atom: 0
Crystal system: orthorhombic
Calculated volume in A^3/atom: 18.62
Space group: Amm2, No. 38

***

(2)
A crystal of KBBr3 relaxed with PBEsol, computed with SCAN.

The structure in POSCAR format:
```
KBBr3
1.0
5.906 0.000 0.000
0.000 5.906 0.000
0.000 0.000 5.906
K B Br
1 1 3
Cartesian
0.000 0.000 0.000
2.953 2.953 2.953
0.000 2.953 0.000
0.000 0.000 2.953
2.953 0.000 0.000
```

## Properties
Crystal system: cubic
Calculated volume in A^3/atom: 41.21
Formation energy from raw total energies in eV per atom: 0.684
Space group: Pm-3m, No. 221

***

(3)
A crystal of CsLiFe2 relaxed with PBEsol, computed with SCAN.

The structure in POSCAR format:
```
CsLiFe2
1.0
4.542 0.000 0.000
2.271 3.933 0.000
2.271 1.311 3.708
Cs Fe Li
1 2 1
Cartesian
4.542 2.622 1.854
2.271 1.311 0.927
6.812 3.933 2.781
0.000 0.000 0.000
```

## Properties
Total energy in eV/atom: -17.307
Crystal system: cubic
Calculated volume in A^3/atom: 16.56
Space group: Fm-3m, No. 225

***

(4)
A crystal of YCuCl3 relaxed with PBEsol, computed with SCAN.

The structure in POSCAR format:
```
YCuCl3
1.0
-3.341 -3.976 -0.075
1.480 -1.335 4.796
-3.691 3.064 1.992
Y Cu Cl
1 1 3
Cartesian
0.000 0.000 0.000
-2.776 -1.124 3.356
0.740 -0.667 2.398
-1.846 1.532 0.996
-1.670 -1.988 -0.038
```

## Properties
Crystal system: cubic
Calculated volume in A^3/atom: 28.03
Formation energy from raw total energies in eV per atom: -1.273
Space group: Pm-3m, No. 221

***

(5)
A crystal of Ta2Mn4O9 relaxed with PBEsol, computed with SCAN.

The structure in POSCAR format:
```
Ta2Mn4O9
1.0
-4.987 -0.910 -1.517
2.922 -3.939 1.985
-4.563 3.205 13.077
Ta Mn O
4 8 18
Cartesian
-2.932 2.059 8.402
-3.913 2.748 11.213
-1.631 1.146 4.675
-0.650 0.457 1.863
-2.084 -1.265 7.608
0.198 -2.868 1.070
-1.104 -1.954 4.800
-3.385 -0.351 11.338
-6.825 1.223 12.474
-4.544 -0.379 5.936
-3.243 -1.293 2.207
-5.524 0.309 8.745
-4.910 -1.091 10.145
-2.606 1.303 10.362
-4.815 2.149 9.384
-1.718 -0.553 3.400
0.965 -2.038 4.700
-4.734 0.146 2.176
-0.609 -2.784 6.889
-3.179 -1.980 5.795
-1.040 -0.031 6.063
-4.325 -1.842 0.251
-1.887 -2.957 1.375
-1.998 -0.145 0.647
-6.019 1.140 6.656
-3.449 0.336 7.750
-5.587 -1.614 7.481
-2.303 0.198 13.294
-4.741 1.313 12.170
-4.629 -1.499 12.898
```

## Properties
Crystal system: trigonal
Calculated volume in A^3/atom: 11.49
Formation energy from raw total energies in eV per atom: -2.528
Space group: P-3c1, No. 165

***

(6)
A crystal of YMn2Tc relaxed with PBEsol, computed with SCAN.

The structure in POSCAR format:
```
YMn2Tc
1.0
-0.497 2.775 -0.671
-0.554 0.750 -2.743
-8.949 -0.024 0.271
Mn Tc Y
2 1 1
Cartesian
-2.789 0.835 -0.738
-7.210 2.666 -2.405
-5.000 1.750 -1.572
0.000 0.000 0.000
```

## Properties
Energy above the most stable polymorph in this dataset in meV per atom: 185
Crystal system: trigonal
Calculated volume in A^3/atom: 15.99
Space group: R-3m, No. 166

***

(7)
A crystal of NbCuPS2 relaxed with PBEsol, computed with SCAN.

The structure in POSCAR format:
```
NbCuPS2
1.0
4.682 0.000 0.000
0.000 4.682 0.000
0.000 0.000 4.885
P Nb S Cu
1 1 2 1
Cartesian
0.000 0.000 2.443
0.000 0.000 0.000
0.000 2.341 0.000
2.341 0.000 0.000
2.341 2.341 2.443
```

## Properties
Crystal system: tetragonal
Calculated volume in A^3/atom: 21.42
Formation energy from raw total energies in eV per atom: 0.328
Space group: P4/mmm, No. 123

***

(8)
A crystal of Mg2MnCrSb relaxed with PBEsol, computed with SCAN.

The structure in POSCAR format:
```
Mg2MnCrSb
1.0
-3.867 2.486 -1.940
-3.322 -3.481 2.163
-0.276 2.968 4.353
Sb Mg Mn Cr
1 2 1 1
Cartesian
0.000 0.000 0.000
-0.138 1.484 2.177
-1.661 -1.741 1.081
-3.733 0.986 2.288
-1.934 1.243 -0.970
```

## Properties
Crystal system: tetragonal
Calculated volume in A^3/atom: 27.78
Formation energy from raw total energies in eV per atom: 0.695
Space group: P4/mmm, No. 123